## WAu5 (PBE)

Data for an optimized crystal structure of WAu5.

Cell and atoms, written as POSCAR:
```
WAu5
1.0
5.3638 0.0000 0.0000
-2.6819 4.6452 0.0000
0.0000 0.0000 4.8347
W Au
1 5
direct
0.0000 0.0000 0.0000
0.0000 0.5000 0.5000
0.3333 0.6667 0.0000
0.5000 0.0000 0.5000
0.5000 0.5000 0.5000
0.6667 0.3333 0.0000
```

Results
total moment: 3.55 μB/f.u.
V: 120.5 Å³ per cell
polymorph energy (0 for the lowest one): 0.5378 eV per atom
formation energy: 0.802 eV/atom
symmetry: No. 191